Be2TeF | the Alexandria database | SCAN | single point on PBEsol structure; energy = -12.507 eV per atom; SG = Fm-3m (225); DOS at the Fermi energy = 1.07 states/eV per cell; formation energy without anion corrections = -0.133 eV per atom; energy above the lowest structure with this stoichiometry = 445 meV/atom
1.0
4.225 0.000 0.000
2.112 3.659 0.000
2.112 1.220 3.450
Be Te F
2 1 1
Direct
0.250 0.250 0.250 Be
0.750 0.750 0.750 Be
0.500 0.500 0.500 Te
0.000 0.000 0.000 F

In2HgBr | the Alexandria database | SCAN | single point on PBEsol structure; energy = -38.728 eV per atom; SG = Fm-3m (225); DOS at the Fermi energy = 2.71 states/eV per cell; formation energy without anion corrections = -0.128 eV per atom; energy above the lowest structure with this stoichiometry = 148 meV/atom
1.0
5.305 0.000 0.000
2.653 4.594 0.000
2.653 1.531 4.332
Hg Br In
1 1 2
Direct
0.500 0.500 0.500 Hg
0.000 0.000 0.000 Br
0.250 0.250 0.250 In
0.750 0.750 0.750 In